# Ba3FeO

An optimized crystal structure of Ba3FeO (GGA+U, Alexandria via LeMat-Bulk).

Calculated values
V in A^3/atom: 40.9
Size of the total moment in μB per cell: 1.27
SG: No. 221
Raw total energy in eV per atom: -2.71

Cell: 5.8909 5.8909 5.8909 Å, 90.00 90.00 90.00°
Atoms (fractional coordinates):
Ba 0.0000 0.0000 0.5000
Ba 0.0000 0.5000 0.0000
Ba 0.5000 0.0000 0.0000
Fe 0.0000 0.0000 0.0000
O 0.5000 0.5000 0.5000